(1)
First-principles (PBE) data for a geometry-optimized MgVPd3 structure, as listed in Alexandria.

DFT formation energy (eV/f.u.): 3.14
E (eV per atom): -4.630
SG: No. 221
Energy above the lowest structure with this stoichiometry (eV per atom): 0.234
Calculated volume (Å³/cell): 95
Total magnetic moment (μB per formula unit): 3.36

abc: 4.5695 4.5695 4.5695
angles: 90.00 90.00 90.00
Last column: nearest neighbours and their distance in Å.
Positions (direct):
Mg: 0.0000 0.0000 0.0000  6 Pd 2.28
V: 0.5000 0.5000 0.5000  12 Pd 3.23
Pd: 0.0000 0.0000 0.5000  2 Mg 2.28
Pd: 0.0000 0.5000 0.0000  2 Mg 2.28
Pd: 0.5000 0.0000 0.0000  2 Mg 2.28

***

(2)
First-principles (PBE) data for a geometry-optimized Sc2VSBr structure, as listed in Alexandria.

E (eV per atom): -5.818
Energy relative to the elements, uncorrected (kJ per mole of atoms): -29
SG: No. 123
Calculated volume (Å³/cell): 108
Total magnetic moment (μB per formula unit): 1.50

abc: 5.0025 5.0025 4.3084
angles: 90.00 90.00 90.00
Last column: nearest neighbours and their distance in Å.
Positions (direct):
Sc: 0.0000 0.5000 0.0000  2 S 2.50
Sc: 0.5000 0.0000 0.0000  2 S 2.50
V: 0.0000 0.0000 0.5000  2 S 2.15
S: 0.0000 0.0000 0.0000  2 V 2.15
Br: 0.5000 0.5000 0.5000  8 Sc 3.30, 4 V 3.54

***

(3)
First-principles (PBE) data for a geometry-optimized Rb2Ga3Si structure, as listed in Alexandria.

E (eV per atom): -2.806
Energy relative to the elements, uncorrected (kJ per mole of atoms): -6
SG: No. 25
Calculated volume (Å³/cell): 187
Total magnetic moment (μB per formula unit): 0.00

abc: 4.2330 5.8669 7.5281
angles: 90.00 90.00 90.00
Last column: nearest neighbours and their distance in Å.
Positions (direct):
Rb: 0.0000 0.0000 0.0000  8 Ga 3.81-3.90, 4 Si 3.82, 2 Rb 4.23
Rb: 0.5000 0.0000 0.4923  10 Ga 3.83-3.92, 2 Si 3.84, 4 Rb 4.23-4.27
Ga: 0.0000 0.5000 0.3226  2 Si 2.44, 1 Ga 2.53
Ga: 0.0000 0.5000 0.6583  3 Ga 2.51-2.53
Ga: 0.5000 0.5000 0.8380  1 Si 2.44, 2 Ga 2.51
Si: 0.5000 0.5000 0.1626  3 Ga 2.44

***

(4)
First-principles (PBE) data for a geometry-optimized HoTaRe4 structure, as listed in Alexandria.

DFT formation energy (eV/f.u.): -0.53
E (eV per atom): -11.125
SG: No. 216
Calculated volume (Å³/cell): 105
Total magnetic moment (μB per formula unit): 0.00

abc: 5.2998 5.2998 5.2998
angles: 60.00 60.00 60.00
Last column: nearest neighbours and their distance in Å.
Positions (direct):
Ho: 0.0000 0.0000 0.0000  12 Re 3.11, 4 Ta 3.25
Ta: 0.7500 0.7500 0.7500  12 Re 3.11, 4 Ho 3.25
Re: 0.3753 0.3753 0.3753  6 Re 2.64-2.66
Re: 0.3753 0.3753 0.8742  6 Re 2.64-2.66
Re: 0.3753 0.8742 0.3753  6 Re 2.64-2.66
Re: 0.8742 0.3753 0.3753  6 Re 2.64-2.66

***

(5)
First-principles (PBE) data for a geometry-optimized KTaIr structure, as listed in Alexandria.

DFT formation energy (eV/f.u.): 7.72
E (eV per atom): -4.698
SG: No. 216
Energy above the lowest structure with this stoichiometry (eV per atom): 2.206
Calculated volume (Å³/cell): 64
Total magnetic moment (μB per formula unit): 0.00

abc: 4.4978 4.4978 4.4978
angles: 60.00 60.00 60.00
Last column: nearest neighbours and their distance in Å.
Positions (direct):
K: 0.0000 0.0000 0.0000  4 Ta 2.75, 4 Ir 2.75
Ta: 0.2500 0.2500 0.2500  4 K 2.75
Ir: 0.7500 0.7500 0.7500  4 K 2.75

***

(6)
First-principles (PBE) data for a geometry-optimized TaZnCr2 structure, as listed in Alexandria.

DFT formation energy (eV/f.u.): 1.03
E (eV per atom): -7.835
SG: No. 10
Calculated volume (Å³/cell): 56
Total magnetic moment (μB per formula unit): 0.00

abc: 2.6008 4.2956 5.0676
angles: 90.00 98.35 90.00
Last column: nearest neighbours and their distance in Å.
Positions (direct):
Ta: 0.0000 0.0000 0.0000  2 Ta 2.60, 4 Cr 2.63, 2 Zn 2.67
Zn: 0.5000 0.0000 0.5000  2 Zn 2.60, 4 Cr 2.62, 2 Ta 2.67
Cr: 0.2400 0.5000 0.7440  4 Cr 2.60-2.75, 2 Zn 2.62, 2 Ta 2.63
Cr: 0.7600 0.5000 0.2560  4 Cr 2.60-2.75, 2 Zn 2.62, 2 Ta 2.63

***

(7)
First-principles (PBE) data for a geometry-optimized ZnCrSi2 structure, as listed in Alexandria.

E (eV per atom): -5.361
Energy relative to the elements, uncorrected (kJ per mole of atoms): 7
SG: No. 166
Calculated volume (Å³/cell): 55
Total magnetic moment (μB per formula unit): 0.00

abc: 8.0327 8.0327 8.0327
angles: 20.32 20.32 20.32
Last column: nearest neighbours and their distance in Å.
Positions (direct):
Zn: 0.0000 0.0000 0.0000  6 Si 2.72, 6 Zn 2.83
Cr: 0.5000 0.5000 0.5000  6 Si 2.40
Si: 0.2414 0.2414 0.2414  3 Cr 2.40
Si: 0.7586 0.7586 0.7586  3 Cr 2.40

***

(8)
First-principles (PBE) data for a geometry-optimized K5Nd3I12 structure, as listed in Alexandria.

E (eV per atom): -3.076
Energy relative to the elements, uncorrected (kJ per mole of atoms): -112
SG: No. 230
Calculated volume (Å³/cell): 3895
Total magnetic moment (μB per formula unit): 2.02

abc: 17.1678 17.1678 17.1678
angles: 109.47 109.47 109.47
Last column: nearest neighbours and their distance in Å.
Positions (direct):
K: 0.0000 0.0000 0.0000  6 I 3.46
K: 0.0000 0.0000 0.5000  6 I 3.46
K: 0.0000 0.5000 0.0000  6 I 3.46
K: 0.0000 0.5000 0.5000  6 I 3.46
K: 0.1250 0.7500 0.8750  4 I 3.36
K: 0.1250 0.8750 0.2500  4 I 3.36
K: 0.2500 0.1250 0.8750  4 I 3.36
K: 0.2500 0.6250 0.3750  4 I 3.36
K: 0.3750 0.2500 0.6250  4 I 3.36
K: 0.3750 0.6250 0.7500  4 I 3.36
K: 0.5000 0.0000 0.0000  6 I 3.46
K: 0.5000 0.0000 0.5000  6 I 3.46
K: 0.5000 0.5000 0.0000  6 I 3.46
K: 0.5000 0.5000 0.5000  6 I 3.46
K: 0.6250 0.3750 0.2500  4 I 3.36
K: 0.6250 0.7500 0.3750  4 I 3.36
K: 0.7500 0.3750 0.6250  4 I 3.36
K: 0.7500 0.8750 0.1250  4 I 3.36
K: 0.8750 0.1250 0.7500  4 I 3.36
K: 0.8750 0.2500 0.1250  4 I 3.36
Nd: 0.1250 0.2500 0.3750  4 I 3.25
Nd: 0.1250 0.3750 0.7500  4 I 3.25
Nd: 0.2500 0.3750 0.1250  4 I 3.25
Nd: 0.2500 0.8750 0.6250  4 I 3.25
Nd: 0.3750 0.1250 0.2500  4 I 3.25
Nd: 0.3750 0.7500 0.1250  4 I 3.25
Nd: 0.6250 0.2500 0.8750  4 I 3.25
Nd: 0.6250 0.8750 0.7500  4 I 3.25
Nd: 0.7500 0.1250 0.3750  4 I 3.25
Nd: 0.7500 0.6250 0.8750  4 I 3.25
Nd: 0.8750 0.6250 0.2500  4 I 3.25
Nd: 0.8750 0.7500 0.6250  4 I 3.25
I: 0.0588 0.6254 0.3878  1 Nd 3.25, 2 K 3.36-3.46
I: 0.0588 0.9335 0.6711  1 Nd 3.25, 2 K 3.36-3.46
I: 0.0665 0.2376 0.1254  1 Nd 3.25, 2 K 3.36-3.46
I: 0.0665 0.3289 0.9412  1 Nd 3.25, 2 K 3.36-3.46
I: 0.1122 0.7376 0.6711  1 Nd 3.25, 2 K 3.36-3.46
I: 0.1122 0.8746 0.4412  1 Nd 3.25, 2 K 3.36-3.46
I: 0.1254 0.0665 0.2376  1 Nd 3.25, 2 K 3.36-3.46
I: 0.1254 0.5588 0.8878  1 Nd 3.25, 2 K 3.36-3.46
I: 0.1711 0.2376 0.6122  1 Nd 3.25, 2 K 3.36-3.46
I: 0.1711 0.4335 0.5588  1 Nd 3.25, 2 K 3.36-3.46
I: 0.2376 0.1254 0.0665  1 Nd 3.25, 2 K 3.36-3.46
I: 0.2376 0.6122 0.1711  1 Nd 3.25, 2 K 3.36-3.46
I: 0.2624 0.3289 0.8878  1 Nd 3.25, 2 K 3.36-3.46
I: 0.2624 0.4335 0.3746  1 Nd 3.25, 2 K 3.36-3.46
I: 0.3289 0.8878 0.2624  1 Nd 3.25, 2 K 3.36-3.46
I: 0.3289 0.9412 0.0665  1 Nd 3.25, 2 K 3.36-3.46
I: 0.3746 0.2624 0.4335  1 Nd 3.25, 2 K 3.36-3.46
I: 0.3746 0.6122 0.9412  1 Nd 3.25, 2 K 3.36-3.46
I: 0.3878 0.0588 0.6254  1 Nd 3.25, 2 K 3.36-3.46
I: 0.3878 0.8289 0.7624  1 Nd 3.25, 2 K 3.36-3.46
I: 0.4335 0.3746 0.2624  1 Nd 3.25, 2 K 3.36-3.46
I: 0.4335 0.5588 0.1711  1 Nd 3.25, 2 K 3.36-3.46
I: 0.4412 0.1122 0.8746  1 Nd 3.25, 2 K 3.36-3.46
I: 0.4412 0.8289 0.5665  1 Nd 3.25, 2 K 3.36-3.46
I: 0.5588 0.1711 0.4335  1 Nd 3.25, 2 K 3.36-3.46
I: 0.5588 0.8878 0.1254  1 Nd 3.25, 2 K 3.36-3.46
I: 0.5665 0.4412 0.8289  1 Nd 3.25, 2 K 3.36-3.46
I: 0.5665 0.6254 0.7376  1 Nd 3.25, 2 K 3.36-3.46
I: 0.6122 0.1711 0.2376  1 Nd 3.25, 2 K 3.36-3.46
I: 0.6122 0.9412 0.3746  1 Nd 3.25, 2 K 3.36-3.46
I: 0.6254 0.3878 0.0588  1 Nd 3.25, 2 K 3.36-3.46
I: 0.6254 0.7376 0.5665  1 Nd 3.25, 2 K 3.36-3.46
I: 0.6711 0.0588 0.9335  1 Nd 3.25, 2 K 3.36-3.46
I: 0.6711 0.1122 0.7376  1 Nd 3.25, 2 K 3.36-3.46
I: 0.7376 0.5665 0.6254  1 Nd 3.25, 2 K 3.36-3.46
I: 0.7376 0.6711 0.1122  1 Nd 3.25, 2 K 3.36-3.46
I: 0.7624 0.3878 0.8289  1 Nd 3.25, 2 K 3.36-3.46
I: 0.7624 0.8746 0.9335  1 Nd 3.25, 2 K 3.36-3.46
I: 0.8289 0.5665 0.4412  1 Nd 3.25, 2 K 3.36-3.46
I: 0.8289 0.7624 0.3878  1 Nd 3.25, 2 K 3.36-3.46
I: 0.8746 0.4412 0.1122  1 Nd 3.25, 2 K 3.36-3.46
I: 0.8746 0.9335 0.7624  1 Nd 3.25, 2 K 3.36-3.46
I: 0.8878 0.1254 0.5588  1 Nd 3.25, 2 K 3.36-3.46
I: 0.8878 0.2624 0.3289  1 Nd 3.25, 2 K 3.36-3.46
I: 0.9335 0.6711 0.0588  1 Nd 3.25, 2 K 3.36-3.46
I: 0.9335 0.7624 0.8746  1 Nd 3.25, 2 K 3.36-3.46
I: 0.9412 0.0665 0.3289  1 Nd 3.25, 2 K 3.36-3.46
I: 0.9412 0.3746 0.6122  1 Nd 3.25, 2 K 3.36-3.46